Below is an optimized crystal structure of NaMg5Ag4, with properties calculated at the GGA-PBE level.

```
data_NaMg5Ag4
_chemical_formula_sum 'Na1 Mg5 Ag4'
_cell_length_a 3.334
_cell_length_b 3.334
_cell_length_c 18.375
_cell_angle_alpha 90.00
_cell_angle_beta 90.00
_cell_angle_gamma 90.00
_space_group_name_H-M_alt 'P 4/m m m'
_space_group_IT_number 123
_space_group_name_Hall '-P 4 2'
loop_
_atom_site_label
_atom_site_fract_x
_atom_site_fract_y
_atom_site_fract_z
Na1 0.000 0.000 0.000
Mg1 0.500 0.500 0.139
Mg2 0.500 0.500 0.319
Mg3 0.500 0.500 0.500
Ag1 0.000 0.000 0.227
Ag2 0.000 0.000 0.410
```

As for the formation energy: -174 meV/atom. The crystal system is tetragonal. The calculation puts the density of states at the Fermi level at 0.48 states/eV/atom.